A relaxed structure of Mg6NiPb3. Source: the Alexandria database, functional PBE.

a = 9.1160 Å, b = 11.0891 Å, c = 4.7125 Å
α = 90.00°, β = 90.00°, γ = 90.00°
Space group Pnnm (No. 58)
Symmetry-distinct sites (fractional):
Mg  0.0273  0.2278  0.0000 x4
Mg  0.1409  0.0616  0.5000 x4
Mg  0.2268  0.3950  0.5000 x4
Ni  0.0000  0.0000  0.0000 x2
Pb  0.0000  0.5000  0.0000 x2
Pb  0.1540  0.6927  0.5000 x4

Values from the calculation:
The energy of formation is -0.012 eV per atom. Its density of states at the Fermi level is 0.5559 states/eV per atom.

---

A relaxed structure of Tl5Bi2Pb4. Source: the Alexandria database, functional PBE.

a = 5.7406 Å, b = 9.4472 Å, c = 13.4726 Å
α = 90.00°, β = 90.00°, γ = 90.00°
Space group Immm (No. 71)
Symmetry-distinct sites (fractional):
Tl  0.0000  0.0000  0.0000 x2
Tl  0.0000  0.1720  0.2275 x8
Bi  0.0000  0.5000  0.3678 x4
Pb  0.0000  0.1894  0.5000 x4
Pb  0.0000  0.5000  0.1201 x4

Values from the calculation:
The energy of formation is 0.063 eV per atom. The energy above the most stable polymorph in this dataset comes out at 28 meV/atom. Its density of states at the Fermi level is 0.5776 states/eV per atom.

---

A relaxed structure of TiPAuO2. Source: the Alexandria database, functional PBE.

a = 3.9848 Å, b = 3.9848 Å, c = 4.9229 Å
α = 90.00°, β = 90.00°, γ = 90.00°
Space group P4/mmm (No. 123)
Symmetry-distinct sites (fractional):
Ti  0.0000  0.0000  0.0000 x1
P  0.5000  0.5000  0.0000 x1
Au  0.5000  0.5000  0.5000 x1
O  0.0000  0.5000  0.5000 x2

Values from the calculation:
The energy above the most stable polymorph in this dataset comes out at 1425 meV/atom. As for the formation energy (no corrections): 0.282 eV per atom. Its density of states at the Fermi level is 0.9902 states/eV per atom.